A plane-wave DFT calculation with PBE was carried out for a relaxed structure of RbYWCl2.

Computed properties:
**Space-group type**: No. 123
**Total magnetic moment**: 4.00 Bohr magnetons per cell
**Formation energy without anion corrections**: -31.4 meV per atom

Cell and atoms, written as POSCAR:
```
RbYWCl2
1.0
5.467 0.000 0.000
0.000 5.720 0.000
0.000 0.000 5.467
W Cl Y Rb
1 2 1 1
Cartesian
0.000 2.860 0.000 W
0.000 0.000 2.734 Cl
2.734 0.000 0.000 Cl
0.000 0.000 0.000 Y
2.734 2.860 2.734 Rb
```